Na2TlSb2 | GGA-PBE | optimized geometry

The density of states at the Fermi level comes out at 2.62 states/eV/f.u. The value obtained for the polymorph energy (0 for the lowest one) is 7 meV/atom. The calculation puts the uncorrected formation energy at -0.21 eV per atom. Its total energy is -2.863 eV/atom. The total magnetization comes out at 0.00 μB per atom.

It has space group P4/mbm (No. 127), with a = 8.231 Å, b = 8.231 Å, c = 4.661 Å, α = 90.00°, β = 90.00° and γ = 90.00°. The distinct sites, in fractional coordinates, are Na at (0.172, 0.328, 0.000), Tl at (0.000, 0.000, 0.500) and Sb at (0.122, 0.622, 0.500).

Rb3Se2I8 | GGA-PBE | optimized geometry

The density of states at the Fermi level comes out at 7.98 states/eV/f.u. The calculation puts the uncorrected formation energy at -0.51 eV per atom. Its total energy is -2.220 eV/atom. The total magnetization comes out at 0.00 μB per atom.

It has space group R-3m (No. 166, hexagonal axes), with a = 8.1916 Å, b = 8.1916 Å, c = 33.1103 Å, α = 90.00°, β = 90.00° and γ = 120.00°. The distinct sites, in fractional coordinates, are Rb at (0.0000, 0.0000, 0.0000), Rb at (0.0000, 0.0000, 0.2055), Se at (0.0000, 0.0000, 0.3999), I at (0.0000, 0.0000, 0.3170) and I at (0.0385, 0.5192, 0.7703).

Zn3CrH | GGA-PBE | optimized geometry

The density of states at the Fermi level comes out at 4.19 states/eV/f.u. The value obtained for the polymorph energy (0 for the lowest one) is 0 meV/atom. Its total energy is -2.928 eV/atom. The total magnetization comes out at 0.00 μB per atom.

It has space group Pm-3m (No. 221), with a = 3.863 Å, b = 3.863 Å, c = 3.863 Å, α = 90.00°, β = 90.00° and γ = 90.00°. The distinct sites, in fractional coordinates, are Zn at (0.000, 0.000, 0.500), Cr at (0.500, 0.500, 0.500) and H at (0.000, 0.000, 0.000).

MgTaOsPd | GGA-PBE | optimized geometry

The density of states at the Fermi level comes out at 3.50 states/eV/f.u. Its total energy is -7.751 eV/atom. For the energy of formation, the calculation gives -6.5 kcal/mol of atoms. The total magnetization comes out at 0.00 μB per atom.

It has space group F-43m (No. 216), with a = 6.350 Å, b = 6.350 Å, c = 6.350 Å, α = 90.00°, β = 90.00° and γ = 90.00°. The distinct sites, in fractional coordinates, are Mg at (0.000, 0.000, 0.000), Ta at (0.000, 0.000, 0.500), Os at (0.250, 0.250, 0.250) and Pd at (0.250, 0.250, 0.750).

DyCo2Sn3 | GGA-PBE | optimized geometry

The density of states at the Fermi level comes out at 5.76 states/eV/f.u. Its total energy is -5.206 eV/atom. For the energy of formation, the calculation gives -1.6 kcal/mol of atoms. The total magnetization comes out at 0.17 μB per atom.

It has space group P-3m1 (No. 164), with a = 6.5678 Å, b = 6.5678 Å, c = 6.5720 Å, α = 90.00°, β = 90.00° and γ = 120.00°. The distinct sites, in fractional coordinates, are Dy at (0.3333, 0.6667, 0.3145), Co at (0.0000, 0.0000, 0.0000), Co at (0.0000, 0.5000, 0.0000) and Sn at (0.1684, 0.3369, 0.7269).

Nd2ZnPb | GGA-PBE | optimized geometry

The density of states at the Fermi level comes out at 5.55 states/eV/f.u. Its total energy is -4.036 eV/atom. For the energy of formation, the calculation gives -9.4 kcal/mol of atoms. The total magnetization comes out at 0.03 μB per atom.

It has space group P2_1/m (No. 11), with a = 6.352 Å, b = 4.454 Å, c = 8.785 Å, α = 90.00°, β = 110.42° and γ = 90.00°. The distinct sites, in fractional coordinates, are Nd at (0.208, 0.250, 0.443), Nd at (0.217, 0.250, 0.913), Zn at (0.354, 0.750, 0.711) and Pb at (0.333, 0.750, 0.208).

Rb3PuTl2O6 | GGA-PBE | optimized geometry

The calculation puts the uncorrected formation energy at -1.67 eV per atom. Its total energy is -5.982 eV/atom. The total magnetization comes out at 0.08 μB per atom.

It has space group C2/m (No. 12), with a = 7.037 Å, b = 11.354 Å, c = 6.736 Å, α = 90.00°, β = 111.68° and γ = 90.00°. The distinct sites, in fractional coordinates, are Rb at (0.000, 0.000, 0.000), Rb at (0.000, 0.327, 0.000), Pu at (0.000, 0.500, 0.500), Tl at (0.000, 0.177, 0.500), O at (0.160, 0.500, 0.314) and O at (0.187, 0.370, 0.692).

Ho11Cd9Pd4 | GGA-PBE | optimized geometry

The density of states at the Fermi level comes out at 20.07 states/eV/f.u. Its total energy is -3.852 eV/atom. For the energy of formation, the calculation gives -12.6 kcal/mol of atoms. The total magnetization comes out at 0.00 μB per atom.

It has space group Cmmm (No. 65), with a = 14.581 Å, b = 21.959 Å, c = 3.623 Å, α = 90.00°, β = 90.00° and γ = 90.00°. The distinct sites, in fractional coordinates, are Ho at (0.000, 0.000, 0.000), Ho at (0.000, 0.162, 0.000), Ho at (0.000, 0.370, 0.000), Ho at (0.196, 0.500, 0.000), Ho at (0.244, 0.170, 0.000), Cd at (0.000, 0.500, 0.500), Cd at (0.105, 0.261, 0.500), Cd at (0.143, 0.072, 0.500) and Pd at (0.150, 0.400, 0.500).